The following is a DFT calculation (GGA-PBE) of a relaxed structure of TbAl4Cu2Au.

```
8
Lattice="2.115 1.221 9.057 -2.115 1.221 9.057 0.000 -2.443 9.057" Properties=species:S:1:pos:R:3 pbc="T T T"
Tb 0.000 0.000 0.000
Al 0.000 0.000 3.280
Al 0.000 0.000 10.934
Al 0.000 0.000 16.236
Al 0.000 0.000 23.890
Cu 0.000 0.000 6.979
Cu 0.000 0.000 20.192
Au 0.000 0.000 13.585
```

* calculated volume: 17.6 Å³ per atom
* density: 6.99 g/cm³
* space group: R-3m (166)
* energy of formation from the pure elements: -2.67 eV/f.u.
* total moment: 0.0 μB per formula unit

The following is a DFT calculation (GGA-PBE) of a relaxed structure of TbAlCuAu.

```
4
Lattice="0.000 3.342 3.342 3.342 0.000 3.342 3.342 3.342 0.000" Properties=species:S:1:pos:R:3 pbc="T T T"
Tb 0.000 0.000 0.000
Al 3.342 3.342 3.342
Cu 1.671 1.671 1.671
Au 5.013 5.013 5.013
```

* calculated volume: 18.7 Å³ per atom
* density: 9.93 g/cm³
* space group: F-43m (216)
* energy of formation from the pure elements: -2.10 eV/f.u.
* total moment: 0.0 μB per formula unit

The following is a DFT calculation (GGA-PBE) of a relaxed structure of Th2Al4Cu3Au.

```
10
Lattice="4.284 0.000 0.000 0.000 4.284 0.000 0.000 0.000 10.215" Properties=species:S:1:pos:R:3 pbc="T T T"
Th 0.000 2.142 2.517
Th 2.142 0.000 7.697
Al 0.000 0.000 0.000
Al 0.000 2.142 6.509
Al 2.142 0.000 3.705
Al 2.142 2.142 0.000
Cu 0.000 2.142 8.929
Cu 2.142 0.000 1.286
Cu 2.142 2.142 5.107
Au 0.000 0.000 5.107
```

* calculated volume: 18.7 Å³ per atom
* density: 8.50 g/cm³
* space group: P-4m2 (115)
* energy of formation from the pure elements: -4.78 eV/f.u.
* total moment: 0.0 μB per formula unit

The following is a DFT calculation (GGA-PBE) of a relaxed structure of ThAlCuAu.

```
4
Lattice="0.000 3.450 3.450 3.450 0.000 3.450 3.450 3.450 0.000" Properties=species:S:1:pos:R:3 pbc="T T T"
Th 0.000 0.000 0.000
Al 3.450 3.450 3.450
Cu 5.175 5.175 5.175
Au 1.725 1.725 1.725
```

* calculated volume: 20.5 Å³ per atom
* density: 10.50 g/cm³
* space group: F-43m (216)
* energy of formation from the pure elements: -1.63 eV/f.u.
* total moment: 0.0 μB per formula unit

The following is a DFT calculation (GGA-PBE) of a relaxed structure of Th2Al3Cu12Au.

```
18
Lattice="3.141 1.814 8.956 -3.141 1.814 8.956 0.000 -3.627 8.956" Properties=species:S:1:pos:R:3 pbc="T T T"
Th 0.000 0.000 3.820
Th 0.000 0.000 23.046
Al -1.571 -0.907 8.956
Al -1.571 0.907 17.911
Al 0.000 1.814 8.956
Cu -1.740 -1.005 11.632
Cu 0.000 -2.247 7.779
Cu -1.946 1.123 7.779
Cu -1.946 -1.123 19.088
Cu 0.000 -2.009 15.235
Cu -1.740 1.005 15.235
Cu 1.740 -1.005 11.632
Cu 0.000 2.009 11.632
Cu 1.946 1.123 7.779
Cu 1.946 -1.123 19.088
Cu 0.000 2.247 19.088
Cu 1.740 1.005 15.235
Au 0.000 0.000 13.433
```

* calculated volume: 17.0 Å³ per atom
* density: 8.16 g/cm³
* space group: R-3m (166)
* energy of formation from the pure elements: 1.63 eV/f.u.
* total moment: 0.0 μB per formula unit

The following is a DFT calculation (GGA-PBE) of a relaxed structure of TmAlCu2Au4.

```
8
Lattice="2.316 1.337 7.426 -2.316 1.337 7.426 0.000 -2.674 7.426" Properties=species:S:1:pos:R:3 pbc="T T T"
Tm 0.000 0.000 0.000
Al 0.000 0.000 11.139
Cu 0.000 0.000 5.738
Cu 0.000 0.000 16.539
Au 0.000 0.000 2.975
Au 0.000 0.000 8.582
Au 0.000 0.000 13.695
Au 0.000 0.000 19.302
```

* calculated volume: 17.2 Å³ per atom
* density: 13.37 g/cm³
* space group: R-3m (166)
* energy of formation from the pure elements: -3.18 eV/f.u.
* total moment: 0.0 μB per formula unit

The following is a DFT calculation (GGA-PBE) of a relaxed structure of Tm2Al3CuAu4.

```
10
Lattice="4.167 0.000 0.000 0.000 4.167 0.000 0.000 0.000 11.183" Properties=species:S:1:pos:R:3 pbc="T T T"
Tm 0.000 2.084 2.712
Tm 2.084 0.000 8.471
Al 0.000 0.000 0.000
Al 0.000 2.084 7.095
Al 2.084 0.000 4.088
Cu 2.084 2.084 0.000
Au 0.000 0.000 5.592
Au 0.000 2.084 9.560
Au 2.084 0.000 1.623
Au 2.084 2.084 5.592
```

* calculated volume: 19.4 Å³ per atom
* density: 10.86 g/cm³
* space group: P-4m2 (115)
* energy of formation from the pure elements: -5.74 eV/f.u.
* total moment: 0.0 μB per formula unit

The following is a DFT calculation (GGA-PBE) of a relaxed structure of Tm2Al4Cu3Au.

```
10
Lattice="4.120 0.000 0.000 0.000 4.120 0.000 0.000 0.000 10.385" Properties=species:S:1:pos:R:3 pbc="T T T"
Tm 0.000 2.060 2.535
Tm 2.060 0.000 7.849
Al 0.000 0.000 0.000
Al 0.000 2.060 6.654
Al 2.060 0.000 3.731
Al 2.060 2.060 0.000
Cu 0.000 2.060 9.013
Cu 2.060 0.000 1.372
Cu 2.060 2.060 5.192
Au 0.000 0.000 5.192
```

* calculated volume: 17.6 Å³ per atom
* density: 7.85 g/cm³
* space group: P-4m2 (115)
* energy of formation from the pure elements: -4.61 eV/f.u.
* total moment: 0.0 μB per formula unit

The following is a DFT calculation (GGA-PBE) of a relaxed structure of Tm2Al3Cu12Au.

```
18
Lattice="2.635 1.521 11.961 -2.635 1.521 11.961 0.000 -3.043 11.961" Properties=species:S:1:pos:R:3 pbc="T T T"
Tm 0.000 0.000 5.103
Tm 0.000 0.000 30.779
Al -1.317 -0.761 11.961
Al -1.317 0.761 23.921
Al 0.000 1.521 11.961
Cu 0.000 -1.600 9.968
Cu -1.345 -0.776 15.873
Cu -1.386 0.800 9.968
Cu -1.386 -0.800 25.914
Cu 0.000 -1.553 20.009
Cu -1.345 0.776 20.009
Cu 1.345 -0.776 15.873
Cu 0.000 1.553 15.873
Cu 1.386 0.800 9.968
Cu 1.386 -0.800 25.914
Cu 1.345 0.776 20.009
Cu 0.000 1.600 25.914
Au 0.000 0.000 17.941
```

* calculated volume: 16.0 Å³ per atom
* density: 7.96 g/cm³
* space group: R-3m (166)
* energy of formation from the pure elements: 0.42 eV/f.u.
* total moment: 0.0 μB per formula unit

The following is a DFT calculation (GGA-PBE) of a relaxed structure of TmAl3CuAu.

```
12
Lattice="3.115 -6.174 0.000 3.115 6.174 0.000 0.000 0.000 5.739" Properties=species:S:1:pos:R:3 pbc="T T T"
Tm 3.115 3.573 4.304
Tm 3.115 -3.573 1.435
Al 1.321 0.000 0.000
Al 1.321 0.000 2.869
Al 3.115 1.690 1.435
Al 3.115 -1.690 4.304
Al 4.908 0.000 0.000
Al 4.908 0.000 2.869
Cu 3.115 0.910 4.304
Cu 3.115 -0.910 1.435
Au 3.115 4.266 1.435
Au 3.115 -4.266 4.304
```

* calculated volume: 18.4 Å³ per atom
* density: 7.68 g/cm³
* space group: Cmcm (63)
* energy of formation from the pure elements: -1.78 eV/f.u.
* total moment: 0.0 μB per formula unit

The following is a DFT calculation (GGA-PBE) of a relaxed structure of AlVCuAu.

```
4
Lattice="0.000 3.105 3.105 3.105 0.000 3.105 3.105 3.105 0.000" Properties=species:S:1:pos:R:3 pbc="T T T"
Al 0.000 0.000 0.000
V 3.105 3.105 3.105
Cu 4.658 4.658 4.658
Au 1.553 1.553 1.553
```

* calculated volume: 15.0 Å³ per atom
* density: 9.39 g/cm³
* space group: F-43m (216)
* energy of formation from the pure elements: -0.31 eV/f.u.
* total moment: 1.9 μB per formula unit

The following is a DFT calculation (GGA-PBE) of a relaxed structure of Al2CuWAu.

```
5
Lattice="4.374 0.000 0.000 0.000 4.374 0.000 0.000 0.000 4.689" Properties=species:S:1:pos:R:3 pbc="T T T"
Al 0.000 2.187 0.000
Al 2.187 0.000 0.000
Cu 0.000 0.000 0.000
W 0.000 0.000 2.344
Au 2.187 2.187 2.344
```

* calculated volume: 17.9 Å³ per atom
* density: 9.22 g/cm³
* space group: P4/mmm (123)
* energy of formation from the pure elements: 3.95 eV/f.u.
* total moment: 0.1 μB per formula unit